Record 1
DFT (PBE-GGA) results for a relaxed structure of PaBeIn.

a b c (Å): 4.832 4.832 4.832
angles (deg): 60.00 60.00 60.00
Fractional positions:
Pa1 0.000 0.000 0.000
Be1 0.750 0.750 0.750
In1 0.250 0.250 0.250

Energy above the lowest structure with this stoichiometry in eV/atom: 0.757

Record 2
DFT (PBE-GGA) results for a relaxed structure of PaBeIn.

a b c (Å): 4.512 4.512 4.512
angles (deg): 60.00 60.00 60.00
Fractional positions:
Pa1 0.000 0.000 0.000
Be1 0.750 0.750 0.750
In1 0.500 0.500 0.500

Energy above the lowest structure with this stoichiometry in eV/atom: 0.000

Record 3
DFT (PBE-GGA) results for a relaxed structure of BeIn2Pd2.

a b c (Å): 7.911 6.548 6.184
angles (deg): 76.77 53.69 49.54
Fractional positions:
Be1 0.125 0.125 0.125
Be2 0.875 0.875 0.875
In1 0.218 0.532 0.218
In2 0.468 0.782 0.468
In3 0.532 0.218 0.532
In4 0.782 0.468 0.782
Pd1 0.000 0.000 0.000
Pd2 0.000 0.000 0.500
Pd3 0.000 0.500 0.000
Pd4 0.500 0.000 0.000

DFT total energy in eV/atom: -4.013

Record 4
DFT (PBE-GGA) results for a relaxed structure of Be2InPd.

a b c (Å): 4.279 4.279 4.279
angles (deg): 60.00 60.00 60.00
Fractional positions:
Be1 0.000 0.000 0.000
Be2 0.250 0.250 0.250
In1 0.750 0.750 0.750
Pd1 0.500 0.500 0.500

DFT total energy in eV/atom: -3.743

Record 5
DFT (PBE-GGA) results for a relaxed structure of ScBeInPd.

a b c (Å): 4.542 4.542 4.542
angles (deg): 60.00 60.00 60.00
Fractional positions:
Sc1 0.000 0.000 0.000
Be1 0.250 0.250 0.250
In1 0.750 0.750 0.750
Pd1 0.500 0.500 0.500

Energy above the lowest structure with this stoichiometry in eV/atom: 0.103

Record 6
DFT (PBE-GGA) results for a relaxed structure of ScBeInPd.

a b c (Å): 4.559 4.559 4.559
angles (deg): 60.00 60.00 60.00
Fractional positions:
Sc1 0.000 0.000 0.000
Be1 0.500 0.500 0.500
In1 0.250 0.250 0.250
Pd1 0.750 0.750 0.750

Energy above the lowest structure with this stoichiometry in eV/atom: 0.111

Record 7
DFT (PBE-GGA) results for a relaxed structure of ScBeInPd.

a b c (Å): 4.549 4.549 4.549
angles (deg): 60.00 60.00 60.00
Fractional positions:
Sc1 0.000 0.000 0.000
Be1 0.250 0.250 0.250
In1 0.500 0.500 0.500
Pd1 0.750 0.750 0.750

Energy above the lowest structure with this stoichiometry in eV/atom: 0.000

Record 8
DFT (PBE-GGA) results for a relaxed structure of YBeInPd.

a b c (Å): 4.703 4.703 4.703
angles (deg): 60.00 60.00 60.00
Fractional positions:
Y1 0.000 0.000 0.000
Be1 0.250 0.250 0.250
In1 0.750 0.750 0.750
Pd1 0.500 0.500 0.500

Energy above the lowest structure with this stoichiometry in eV/atom: 0.140

Record 9
DFT (PBE-GGA) results for a relaxed structure of YBeInPd.

a b c (Å): 4.751 4.751 4.751
angles (deg): 60.00 60.00 60.00
Fractional positions:
Y1 0.000 0.000 0.000
Be1 0.500 0.500 0.500
In1 0.250 0.250 0.250
Pd1 0.750 0.750 0.750

Energy above the lowest structure with this stoichiometry in eV/atom: 0.174

Record 10
DFT (PBE-GGA) results for a relaxed structure of YBeInPd.

a b c (Å): 4.710 4.710 4.710
angles (deg): 60.00 60.00 60.00
Fractional positions:
Y1 0.000 0.000 0.000
Be1 0.250 0.250 0.250
In1 0.500 0.500 0.500
Pd1 0.750 0.750 0.750

Energy above the lowest structure with this stoichiometry in eV/atom: 0.000

Record 11
DFT (PBE-GGA) results for a relaxed structure of PmBeIn.

a b c (Å): 4.889 4.889 4.889
angles (deg): 60.00 60.00 60.00
Fractional positions:
Pm1 0.000 0.000 0.000
Be1 0.750 0.750 0.750
In1 0.250 0.250 0.250

Energy above the lowest structure with this stoichiometry in eV/atom: 0.762

Record 12
DFT (PBE-GGA) results for a relaxed structure of PmBeIn.

a b c (Å): 4.772 4.772 4.772
angles (deg): 60.00 60.00 60.00
Fractional positions:
Pm1 0.000 0.000 0.000
Be1 0.500 0.500 0.500
In1 0.750 0.750 0.750

Energy above the lowest structure with this stoichiometry in eV/atom: 0.402

Record 13
DFT (PBE-GGA) results for a relaxed structure of PmBeIn.

a b c (Å): 4.598 4.598 4.598
angles (deg): 60.00 60.00 60.00
Fractional positions:
Pm1 0.000 0.000 0.000
Be1 0.750 0.750 0.750
In1 0.500 0.500 0.500

Energy above the lowest structure with this stoichiometry in eV/atom: 0.000

Record 14
DFT (PBE-GGA) results for a relaxed structure of PrBeIn.

a b c (Å): 4.654 4.654 4.654
angles (deg): 60.00 60.00 60.00
Fractional positions:
Pr1 0.000 0.000 0.000
Be1 0.750 0.750 0.750
In1 0.500 0.500 0.500

Energy above the lowest structure with this stoichiometry in eV/atom: 0.000

Record 15
DFT (PBE-GGA) results for a relaxed structure of PrBeIn.

a b c (Å): 4.950 4.950 4.950
angles (deg): 60.00 60.00 60.00
Fractional positions:
Pr1 0.000 0.000 0.000
Be1 0.750 0.750 0.750
In1 0.250 0.250 0.250

Energy above the lowest structure with this stoichiometry in eV/atom: 0.749

Record 16
DFT (PBE-GGA) results for a relaxed structure of PrBeIn.

a b c (Å): 4.833 4.833 4.833
angles (deg): 60.00 60.00 60.00
Fractional positions:
Pr1 0.000 0.000 0.000
Be1 0.500 0.500 0.500
In1 0.750 0.750 0.750

Energy above the lowest structure with this stoichiometry in eV/atom: 0.399

Record 17
DFT (PBE-GGA) results for a relaxed structure of BeInPt.

a b c (Å): 4.274 4.274 4.274
angles (deg): 60.00 60.00 60.00
Fractional positions:
Be1 0.000 0.000 0.000
In1 0.500 0.500 0.500
Pt1 0.250 0.250 0.250

Energy above the lowest structure with this stoichiometry in eV/atom: 0.000

Record 18
DFT (PBE-GGA) results for a relaxed structure of Be2InPt2.

a b c (Å): 6.980 6.980 2.791
angles (deg): 90.00 90.00 90.00
Fractional positions:
Be1 0.122 0.378 0.000
Be2 0.378 0.878 0.000
Be3 0.622 0.122 0.000
Be4 0.878 0.622 0.000
In1 0.000 0.000 0.000
In2 0.500 0.500 0.000
Pt1 0.163 0.663 0.500
Pt2 0.337 0.163 0.500
Pt3 0.663 0.837 0.500
Pt4 0.837 0.337 0.500

Energy above the lowest structure with this stoichiometry in eV/atom: 0.000

Record 19
DFT (PBE-GGA) results for a relaxed structure of Be2InPt2.

a b c (Å): 6.386 6.386 6.386
angles (deg): 147.99 147.99 45.91
Fractional positions:
Be1 0.250 0.750 0.500
Be2 0.750 0.250 0.500
In1 0.000 0.000 0.000
Pt1 0.379 0.379 0.000
Pt2 0.621 0.621 0.000

Energy above the lowest structure with this stoichiometry in eV/atom: 0.006

Record 20
DFT (PBE-GGA) results for a relaxed structure of BeInPt2.

a b c (Å): 4.453 4.453 4.453
angles (deg): 60.00 60.00 60.00
Fractional positions:
Be1 0.000 0.000 0.000
In1 0.750 0.750 0.750
Pt1 0.250 0.250 0.250
Pt2 0.500 0.500 0.500

DFT total energy in eV/atom: -4.771

Record 21
DFT (PBE-GGA) results for a relaxed structure of BeTlInPt.

a b c (Å): 4.749 4.749 4.749
angles (deg): 60.00 60.00 60.00
Fractional positions:
Be1 0.000 0.000 0.000
Tl1 0.750 0.750 0.750
In1 0.500 0.500 0.500
Pt1 0.250 0.250 0.250

Energy above the lowest structure with this stoichiometry in eV/atom: 0.000

Record 22
DFT (PBE-GGA) results for a relaxed structure of PuBeIn.

a b c (Å): 4.761 4.761 4.761
angles (deg): 60.00 60.00 60.00
Fractional positions:
Pu1 0.000 0.000 0.000
Be1 0.500 0.500 0.500
In1 0.750 0.750 0.750

DFT total energy in eV/atom: -6.289

Record 23
DFT (PBE-GGA) results for a relaxed structure of Be2InRe.

a b c (Å): 4.296 4.296 4.296
angles (deg): 60.00 60.00 60.00
Fractional positions:
Be1 0.000 0.000 0.000
Be2 0.250 0.250 0.250
In1 0.500 0.500 0.500
Re1 0.750 0.750 0.750

DFT total energy in eV/atom: -4.901

Record 24
DFT (PBE-GGA) results for a relaxed structure of BeInReTe.

a b c (Å): 4.658 4.658 4.658
angles (deg): 60.00 60.00 60.00
Fractional positions:
Be1 0.000 0.000 0.000
In1 0.250 0.250 0.250
Re1 0.500 0.500 0.500
Te1 0.750 0.750 0.750

Energy above the lowest structure with this stoichiometry in eV/atom: 0.000

Record 25
DFT (PBE-GGA) results for a relaxed structure of SmBeIn.

a b c (Å): 4.653 4.653 4.653
angles (deg): 60.00 60.00 60.00
Fractional positions:
Sm1 0.000 0.000 0.000
Be1 0.750 0.750 0.750
In1 0.500 0.500 0.500

Energy above the lowest structure with this stoichiometry in eV/atom: 0.000

Record 26
DFT (PBE-GGA) results for a relaxed structure of SmBeIn.

a b c (Å): 4.878 4.878 4.878
angles (deg): 60.00 60.00 60.00
Fractional positions:
Sm1 0.000 0.000 0.000
Be1 0.750 0.750 0.750
In1 0.250 0.250 0.250

Energy above the lowest structure with this stoichiometry in eV/atom: 0.757

Record 27
DFT (PBE-GGA) results for a relaxed structure of SmBeIn.

a b c (Å): 4.751 4.751 4.751
angles (deg): 60.00 60.00 60.00
Fractional positions:
Sm1 0.000 0.000 0.000
Be1 0.500 0.500 0.500
In1 0.750 0.750 0.750

Energy above the lowest structure with this stoichiometry in eV/atom: 0.394

Record 28
DFT (PBE-GGA) results for a relaxed structure of Ta2BeIn.

a b c (Å): 4.613 4.613 4.613
angles (deg): 60.00 60.00 60.00
Fractional positions:
Ta1 0.000 0.000 0.000
Ta2 0.250 0.250 0.250
Be1 0.750 0.750 0.750
In1 0.500 0.500 0.500

DFT total energy in eV/atom: -6.986

Record 29
DFT (PBE-GGA) results for a relaxed structure of TbBeIn.

a b c (Å): 4.690 4.690 4.690
angles (deg): 60.00 60.00 60.00
Fractional positions:
Tb1 0.000 0.000 0.000
Be1 0.500 0.500 0.500
In1 0.750 0.750 0.750

Energy above the lowest structure with this stoichiometry in eV/atom: 0.404

Record 30
DFT (PBE-GGA) results for a relaxed structure of TbBeIn.

a b c (Å): 4.521 4.521 4.521
angles (deg): 60.00 60.00 60.00
Fractional positions:
Tb1 0.000 0.000 0.000
Be1 0.750 0.750 0.750
In1 0.500 0.500 0.500

Energy above the lowest structure with this stoichiometry in eV/atom: 0.000

Record 31
DFT (PBE-GGA) results for a relaxed structure of BeIn2Tc.

a b c (Å): 4.575 4.575 4.575
angles (deg): 60.00 60.00 60.00
Fractional positions:
Be1 0.000 0.000 0.000
In1 0.250 0.250 0.250
In2 0.500 0.500 0.500
Tc1 0.750 0.750 0.750

DFT total energy in eV/atom: -4.235

V values, unit Å³/f.u., following the record order: 79.77, 64.93, 95.00, 55.41, 66.24, 67.00, 66.57, 73.57, 75.82, 73.88, 82.65, 76.86, 68.72, 71.28, 85.78, 79.83, 55.19, 68.00, 72.92, 62.45, 75.72, 76.30, 56.05, 71.48, 71.21, 82.08, 75.83, 69.40, 72.97, 65.35, 67.69.